[1]
The following is a PBE calculation of a relaxed SiNi2GePd crystal, from the Alexandria database.

Summary:
**ΔE_f (raw)**: 862 meV/atom
**Size of the total moment**: 0.23 μB per atom
**Space group**: P4/mmm, No. 123
**DOS at the Fermi energy**: 9.1 states/eV per cell

Lattice parameters (Å, degrees): 4.6902 4.6902 4.3814 90.00 90.00 90.00
With the nearest neighbours (Å) after each atom.
Atoms (fractional coordinates):
Si 0.0000 0.0000 0.0000  2 Pd 2.19
Ni 0.0000 0.5000 0.5000  2 Pd 2.35
Ni 0.5000 0.0000 0.5000  2 Pd 2.35
Ge 0.5000 0.5000 0.0000  8 Ni 3.21, 4 Si 3.32
Pd 0.0000 0.0000 0.5000  2 Si 2.19, 4 Ni 2.35

***

[2]
The following is a PBE calculation of a relaxed CsTi3P5O19 crystal, from the Alexandria database.

Summary:
**ΔE_f (raw)**: -2534 meV/atom
**Size of the total moment**: 0.00 μB per atom
**Space group**: Cm, No. 8
**Energy above the most stable polymorph in this dataset**: 0 meV/atom
**DOS at the Fermi energy**: 0.0 states/eV per cell

Lattice parameters (Å, degrees): 8.5866 8.5866 6.4027 98.70 98.70 113.03
With the nearest neighbours (Å) after each atom.
Atoms (fractional coordinates):
Cs 0.0000 0.0000 0.0000  7 O 3.14-3.45
Ti 0.1461 0.3929 0.6546  5 O 1.83-2.02
Ti 0.3929 0.1461 0.6546  5 O 1.83-2.02
Ti 0.6678 0.6678 0.3187  6 O 1.95-1.96
P 0.0879 0.7181 0.4734  4 O 1.52-1.62
P 0.2200 0.5135 0.2037  4 O 1.52-1.61
P 0.5135 0.2200 0.2037  4 O 1.52-1.61
P 0.5713 0.5713 0.7775  4 O 1.54-1.55
P 0.7181 0.0879 0.4734  4 O 1.52-1.62
O 0.0715 0.5896 0.6163  1 P 1.52
O 0.1381 0.4278 0.9638  1 P 1.52
O 0.1489 0.6591 0.2590  2 P 1.61-1.62
O 0.1536 0.3789 0.3389  1 P 1.53
O 0.2196 0.2196 0.6582  2 Ti 1.83
O 0.2245 0.9012 0.5836  1 P 1.52
O 0.3789 0.1536 0.3389  1 P 1.53
O 0.3871 0.5655 0.7368  1 P 1.54
O 0.4178 0.6091 0.2541  1 P 1.52
O 0.4278 0.1381 0.9638  1 P 1.52
O 0.5655 0.3871 0.7368  1 P 1.54
O 0.5896 0.0715 0.6163  1 P 1.52
O 0.6091 0.4178 0.2541  1 P 1.52
O 0.6591 0.1489 0.2590  2 P 1.61-1.62
O 0.6714 0.6714 0.0135  1 P 1.55
O 0.6738 0.6738 0.6263  1 P 1.55
O 0.7238 0.9154 0.3796  1 P 1.53
O 0.9012 0.2245 0.5836  1 P 1.52
O 0.9154 0.7238 0.3796  1 P 1.53

***

[3]
The following is a PBE calculation of a relaxed Na3TaC crystal, from the Alexandria database.

Summary:
**Size of the total moment**: 0.40 μB per atom
**Space group**: Pm-3m, No. 221
**Energy above the most stable polymorph in this dataset**: 804 meV/atom
**ΔE_f**: 2.64 eV/atom
**DOS at the Fermi energy**: 5.6 states/eV per cell

Lattice parameters (Å, degrees): 6.0082 6.0082 6.0082 90.00 90.00 90.00
With the nearest neighbours (Å) after each atom.
Atoms (fractional coordinates):
Na 0.0000 0.0000 0.5000  2 Ta 3.00
Na 0.0000 0.5000 0.0000  2 Ta 3.00
Na 0.5000 0.0000 0.0000  2 Ta 3.00
Ta 0.0000 0.0000 0.0000  6 Na 3.00
C 0.5000 0.5000 0.5000  12 Na 4.25

***

[4]
The following is a PBE calculation of a relaxed BeTlOs crystal, from the Alexandria database.

Summary:
**Size of the total moment**: 0.00 μB per atom
**Space group**: F-43m, No. 216
**Energy above the most stable polymorph in this dataset**: 315 meV/atom
**ΔE_f**: 0.77 eV/atom
**DOS at the Fermi energy**: 2.2 states/eV per cell

Lattice parameters (Å, degrees): 4.0711 4.0711 4.0711 60.00 60.00 60.00
With the nearest neighbours (Å) after each atom.
Atoms (fractional coordinates):
Be 0.0000 0.0000 0.0000  4 Tl 2.49, 4 Os 2.49
Tl 0.7500 0.7500 0.7500  4 Be 2.49
Os 0.2500 0.2500 0.2500  4 Be 2.49